A relaxed CaNiMo crystal. Source: the Alexandria database, functional GGA-PBE.

Calculated values
- magnetic moment (μB/atom) = 0.0000
- E above lowest polymorph (eV/atom) = 0.117
- space-group type = P1 (1)
- formation enthalpy at 0 K (eV/atom) = 0.29

Lattice parameters (Å, degrees): 4.5344 9.3089 3.3618 89.61 68.29 75.41
Closest atoms and distances in Å follow each position.
Atoms (fractional coordinates):
Ni1 0.5692 0.5757 0.2079  5 Mo 2.53-2.69, 3 Ni 2.55-2.57
Ni2 0.9361 0.6607 0.5226  2 Mo 2.48, 3 Ni 2.55-2.57
Ca1 0.2566 0.8334 0.8593  5 Ni 2.88-2.94
Ca2 0.5615 0.1604 0.2200  3 Mo 2.99-3.12
Mo1 0.2315 0.4768 0.8784  5 Ni 2.48-2.69, 3 Mo 2.62-2.66
Mo2 0.8818 0.3663 0.5566  3 Mo 2.62-2.66, 3 Ni 2.64-2.81

A relaxed CaNi2Mo crystal. Source: the Alexandria database, functional GGA-PBE.

Calculated values
- magnetic moment (μB/atom) = 0.3050
- E above lowest polymorph (eV/atom) = 0.438
- space-group type = I-4m2 (119)
- formation enthalpy at 0 K (eV/atom) = 0.55

Lattice parameters (Å, degrees): 5.1364 5.1364 5.1364 136.83 136.83 62.70
Closest atoms and distances in Å follow each position.
Atoms (fractional coordinates):
Ni1 0.0000 0.0000 0.0000  4 Ca 2.67, 4 Ni 2.89, 4 Mo 2.89
Ni2 0.2500 0.7500 0.5000  4 Mo 2.67, 4 Ca 2.89, 4 Ni 2.89
Mo1 0.7500 0.2500 0.5000  8 Ni 2.67-2.89, 4 Ca 2.89
Ca1 0.5000 0.5000 0.0000  8 Ni 2.67-2.89, 4 Mo 2.89

A relaxed Ca2NiMo crystal. Source: the Alexandria database, functional GGA-PBE.

Calculated values
- magnetic moment (μB/atom) = 0.8188
- E above lowest polymorph (eV/atom) = 0.334
- space-group type = P4/mmm (123)
- formation enthalpy at 0 K (eV/atom) = 0.67

Lattice parameters (Å, degrees): 3.6372 3.6372 6.7083 90.00 90.00 90.00
Closest atoms and distances in Å follow each position.
Atoms (fractional coordinates):
Ni1 0.5000 0.5000 0.7500  8 Ca 3.02, 2 Mo 3.35
Mo1 0.5000 0.5000 0.2500  8 Ca 3.13, 2 Ni 3.35
Ca1 0.0000 0.0000 0.9849  4 Ni 3.02, 4 Mo 3.13, 1 Ca 3.15
Ca2 0.0000 0.0000 0.5151  4 Ni 3.02, 4 Mo 3.13, 1 Ca 3.15

A relaxed Ca2NiMo crystal. Source: the Alexandria database, functional GGA-PBE.

Calculated values
- magnetic moment (μB/atom) = 0.8324
- E above lowest polymorph (eV/atom) = 0.400
- space-group type = I-4m2 (119)
- formation enthalpy at 0 K (eV/atom) = 0.74

Lattice parameters (Å, degrees): 4.9272 4.9272 4.9272 119.81 119.81 90.33
Closest atoms and distances in Å follow each position.
Atoms (fractional coordinates):
Ni1 0.7500 0.2500 0.5000  4 Mo 3.02, 4 Ca 3.02
Mo1 0.5000 0.5000 0.0000  4 Ca 3.02, 4 Ni 3.02
Ca1 0.0000 0.0000 0.0000  4 Ni 3.02, 4 Ca 3.02
Ca2 0.2500 0.7500 0.5000  4 Ca 3.02, 4 Mo 3.02

A relaxed CaNiMo crystal. Source: the Alexandria database, functional GGA-PBE.

Calculated values
- magnetic moment (μB/atom) = 0.0000
- E above lowest polymorph (eV/atom) = 0.200
- space-group type = P-1 (2)
- formation enthalpy at 0 K (eV/atom) = 0.37

Lattice parameters (Å, degrees): 6.2449 7.3410 2.8301 94.81 73.37 113.86
Closest atoms and distances in Å follow each position.
Atoms (fractional coordinates):
Ni1 0.1045 0.5060 0.6659  1 Ni 2.46, 4 Mo 2.52-2.75
Ni2 0.7321 0.5185 0.2461  1 Ni 2.46, 4 Mo 2.52-2.75
Ca1 0.1026 0.8781 0.4858  2 Ni 2.83-2.91, 2 Ca 2.83
Ca2 0.7341 0.1464 0.4253  2 Ni 2.83-2.91, 2 Ca 2.83
Mo1 0.5024 0.6900 0.8791  1 Mo 2.41, 3 Ni 2.52-2.69
Mo2 0.3342 0.3345 0.0327  1 Mo 2.41, 3 Ni 2.52-2.69

A relaxed CaNiMo crystal. Source: the Alexandria database, functional GGA-PBE.

Calculated values
- magnetic moment (μB/atom) = 1.1084
- E above lowest polymorph (eV/atom) = 1.641
- space-group type = P6_3/mmc (194)
- formation enthalpy at 0 K (eV/atom) = 1.81

Lattice parameters (Å, degrees): 5.2477 5.2477 8.8911 90.00 90.00 120.00
Closest atoms and distances in Å follow each position.
Atoms (fractional coordinates):
Ni1 0.0000 0.0000 0.0000  2 Mo 2.22
Ni2 0.0000 0.0000 0.5000  2 Mo 2.22
Mo1 0.0000 0.0000 0.2500  2 Ni 2.22
Mo2 0.0000 0.0000 0.7500  2 Ni 2.22
Ca1 0.3333 0.6667 0.2500  3 Mo 3.03
Ca2 0.6667 0.3333 0.7500  3 Mo 3.03

A relaxed CaNi2Mo crystal. Source: the Alexandria database, functional GGA-PBE.

Calculated values
- magnetic moment (μB/atom) = 0.0000
- E above lowest polymorph (eV/atom) = 0.127
- space-group type = P4/mmm (123)
- formation enthalpy at 0 K (eV/atom) = 0.24

Lattice parameters (Å, degrees): 4.7410 4.7410 2.7244 90.00 90.00 89.96
Closest atoms and distances in Å follow each position.
Atoms (fractional coordinates):
Ni1 0.0000 0.0000 0.0000  2 Ni 2.72, 4 Ca 2.73, 4 Mo 2.73
Ni2 0.5000 0.5000 0.0000  2 Ni 2.72, 4 Mo 2.73, 4 Ca 2.73
Mo1 0.0000 0.5000 0.5000  2 Mo 2.72, 8 Ni 2.73
Ca1 0.5000 0.0000 0.5000  2 Ca 2.72, 8 Ni 2.73

A relaxed CaNi2Mo crystal. Source: the Alexandria database, functional GGA-PBE.

Calculated values
- magnetic moment (μB/atom) = 0.0000
- E above lowest polymorph (eV/atom) = 0.000
- space-group type = Pmmm (47)
- formation enthalpy at 0 K (eV/atom) = 0.12

Lattice parameters (Å, degrees): 3.4345 2.8264 7.3218 67.32 90.00 90.00
Closest atoms and distances in Å follow each position.
Atoms (fractional coordinates):
Ni1 0.0000 0.0601 0.9398  3 Ni 2.57-2.83, 4 Mo 2.57
Ni2 0.0000 0.4399 0.5602  3 Ni 2.57-2.83, 4 Mo 2.57
Mo1 0.5000 0.7500 0.7500  8 Ni 2.57, 2 Mo 2.83
Ca1 0.5000 0.2500 0.2500  2 Ca 2.83, 8 Ni 3.06